(1)
# K2LiAlF6 | Alexandria via LeMat-Bulk | PBE-GGA | relaxed
data_K2LiAlF6
_cell_length_a 5.112
_cell_length_b 5.112
_cell_length_c 10.934
_cell_angle_alpha 90.00
_cell_angle_beta 90.00
_cell_angle_gamma 120.00
_space_group_name_H-M_alt 'P 1'
_space_group_IT_number 1
loop_
_space_group_symop_operation_xyz
'x,y,z'
loop_
_atom_site_label
_atom_site_fract_x
_atom_site_fract_y
_atom_site_fract_z
K1 0.000 0.000 0.231
K2 0.000 0.000 0.769
Li1 0.000 0.000 0.000
Al1 0.000 0.000 0.500
F1 0.000 0.500 0.241
F2 0.000 0.500 0.759
F3 0.500 0.000 0.241
F4 0.500 0.000 0.759
F5 0.500 0.500 0.241
F6 0.500 0.500 0.759
# Crystal system = hexagonal
# Raw total energy = -2.8486 eV/atom
# Total moment = 2.00 μB per cell

(2)
# K3Li2AlF9 | Alexandria via LeMat-Bulk | PBE-GGA | relaxed
data_K3Li2AlF9
_cell_length_a 5.607
_cell_length_b 5.607
_cell_length_c 7.074
_cell_angle_alpha 90.00
_cell_angle_beta 90.00
_cell_angle_gamma 120.00
_space_group_name_H-M_alt 'P 1'
_space_group_IT_number 1
loop_
_space_group_symop_operation_xyz
'x,y,z'
loop_
_atom_site_label
_atom_site_fract_x
_atom_site_fract_y
_atom_site_fract_z
K1 0.000 0.000 0.000
K2 0.333 0.667 0.677
K3 0.667 0.333 0.323
Li1 0.333 0.667 0.183
Li2 0.667 0.333 0.817
Al1 0.000 0.000 0.500
F1 0.000 0.500 0.000
F2 0.155 0.309 0.350
F3 0.155 0.845 0.350
F4 0.309 0.155 0.650
F5 0.500 0.000 0.000
F6 0.500 0.500 0.000
F7 0.691 0.845 0.350
F8 0.845 0.155 0.650
F9 0.845 0.691 0.650
# Crystal system = trigonal
# Raw total energy = -4.7480 eV/atom
# Total moment = 1.08 μB per cell

(3)
# KLiAl2Si4O10F2 | Alexandria via LeMat-Bulk | PBE-GGA | relaxed
data_KLiAl2Si4O10F2
_cell_length_a 5.323
_cell_length_b 5.323
_cell_length_c 11.189
_cell_angle_alpha 95.32
_cell_angle_beta 95.32
_cell_angle_gamma 119.85
_space_group_name_H-M_alt 'P 1'
_space_group_IT_number 1
loop_
_space_group_symop_operation_xyz
'x,y,z'
loop_
_atom_site_label
_atom_site_fract_x
_atom_site_fract_y
_atom_site_fract_z
K1 0.000 0.000 0.000
Li1 0.500 0.500 0.500
Al1 0.171 0.829 0.500
Al2 0.829 0.171 0.500
Si1 0.243 0.582 0.749
Si2 0.418 0.757 0.251
Si3 0.582 0.243 0.749
Si4 0.757 0.418 0.251
O1 0.066 0.547 0.194
O2 0.168 0.535 0.596
O3 0.412 0.412 0.796
O4 0.453 0.934 0.806
O5 0.465 0.832 0.404
O6 0.535 0.168 0.596
O7 0.547 0.066 0.194
O8 0.588 0.588 0.204
O9 0.832 0.465 0.404
O10 0.934 0.453 0.806
F1 0.117 0.117 0.418
F2 0.883 0.883 0.582
# Crystal system = monoclinic
# Raw total energy = -6.8324 eV/atom
# Total moment = 0.00 μB per cell

(4)
# KMg2AlF8 | Alexandria via LeMat-Bulk | PBE-GGA | relaxed
data_KMg2AlF8
_cell_length_a 4.995
_cell_length_b 4.995
_cell_length_c 7.050
_cell_angle_alpha 100.14
_cell_angle_beta 100.14
_cell_angle_gamma 76.77
_space_group_name_H-M_alt 'P 1'
_space_group_IT_number 1
loop_
_space_group_symop_operation_xyz
'x,y,z'
loop_
_atom_site_label
_atom_site_fract_x
_atom_site_fract_y
_atom_site_fract_z
K1 0.000 0.000 0.000
Mg1 0.446 0.446 0.770
Mg2 0.554 0.554 0.230
Al1 0.000 0.000 0.500
F1 0.212 0.786 0.315
F2 0.214 0.788 0.685
F3 0.235 0.235 0.562
F4 0.343 0.343 0.002
F5 0.657 0.657 0.998
F6 0.765 0.765 0.438
F7 0.786 0.212 0.315
F8 0.788 0.214 0.685
# Crystal system = monoclinic
# Raw total energy = -5.3024 eV/atom
# Total moment = 0.05 μB per cell

no.,E_form (uncorrected) (eV/f.u.)
1,-9.41
2,-43.52
3,-51.13
4,-40.63